Entry 1:
The following is a PBE calculation of a relaxed structure of CuSiNi2, from Alexandria.

Cell lengths 8.046, 8.046, 8.046 Å; angles 18.60, 18.60, 18.60 degrees
Fractional positions:
Cu: 0.000 0.000 0.000
Si: 0.248 0.248 0.248
Ni: 0.505 0.505 0.505
Ni: 0.753 0.753 0.753

The total moment comes out at 0.0 μB per formula unit. The value obtained for the uncorrected formation energy is -0.23 eV per formula unit. The space group is R3m (160).

Entry 2:
The following is a PBE calculation of a relaxed structure of Sr3U3ReN8, from Alexandria.

Cell lengths 7.146, 7.146, 7.146 Å; angles 56.85, 56.85, 56.85 degrees
Fractional positions:
Sr: 0.000 0.500 0.500
Sr: 0.500 0.000 0.500
Sr: 0.500 0.500 0.000
U: 0.000 0.000 0.500
U: 0.000 0.500 0.000
U: 0.500 0.000 0.000
Re: 0.500 0.500 0.500
N: 0.230 0.727 0.727
N: 0.235 0.235 0.235
N: 0.273 0.273 0.770
N: 0.273 0.770 0.273
N: 0.727 0.230 0.727
N: 0.727 0.727 0.230
N: 0.765 0.765 0.765
N: 0.770 0.273 0.273

The total moment comes out at 1.0 μB per formula unit. The value obtained for the uncorrected formation energy is -14.11 eV per formula unit. The space group is R-3m (166).

Entry 3:
The following is a PBE calculation of a relaxed structure of Li2CaZrF8, from Alexandria.

Cell lengths 3.750, 5.294, 7.539 Å; angles 84.80, 88.59, 79.86 degrees
Fractional positions:
Li: 0.054 0.035 0.300
Li: 0.946 0.965 0.700
Ca: 0.500 0.500 0.500
Zr: 0.500 0.500 0.000
F: 0.066 0.235 0.512
F: 0.067 0.275 0.026
F: 0.409 0.740 0.208
F: 0.430 0.745 0.759
F: 0.570 0.255 0.241
F: 0.591 0.260 0.792
F: 0.933 0.725 0.974
F: 0.934 0.765 0.488

The total moment comes out at 0.0 μB per formula unit. The value obtained for the uncorrected formation energy is -41.50 eV per formula unit. The space group is P-1 (2).

Entry 4:
The following is a PBE calculation of a relaxed structure of Cd2TcTe, from Alexandria.

Cell lengths 4.891, 4.891, 4.891 Å; angles 60.00, 60.00, 60.00 degrees
Fractional positions:
Cd: 0.000 0.000 0.000
Cd: 0.250 0.250 0.250
Tc: 0.500 0.500 0.500
Te: 0.750 0.750 0.750

The total moment comes out at 1.0 μB per formula unit. The value obtained for the uncorrected formation energy is 2.31 eV per formula unit. The space group is F-43m (216).

Entry 5:
The following is a PBE calculation of a relaxed structure of Y2ErSc6, from Alexandria.

Cell lengths 9.171, 9.171, 3.313 Å; angles 90.06, 90.06, 59.96 degrees
Fractional positions:
Y: 0.167 0.167 0.000
Y: 0.833 0.833 0.000
Er: 0.500 0.500 0.000
Sc: 0.168 0.500 0.500
Sc: 0.168 0.832 0.500
Sc: 0.500 0.168 0.500
Sc: 0.500 0.832 0.500
Sc: 0.832 0.168 0.500
Sc: 0.832 0.500 0.500

The total moment comes out at 0.0 μB per formula unit. Its formation energy is 67 meV per atom. The space group is C2/m (12).

Entry 6:
The following is a PBE calculation of a relaxed structure of La2PrN, from Alexandria.

Cell lengths 10.223, 10.223, 10.223 Å; angles 20.54, 20.54, 20.54 degrees
Fractional positions:
La: 0.119 0.119 0.119
La: 0.881 0.881 0.881
Pr: 0.000 0.000 0.000
N: 0.500 0.500 0.500

The total moment comes out at 0.0 μB per formula unit. The value obtained for the uncorrected formation energy is -2.38 eV per formula unit. The space group is R-3m (166). Its polymorph energy (0 for the lowest one) is 0.049 eV/atom.

Entry 7:
The following is a PBE calculation of a relaxed structure of Li2CaSm2Ge2, from Alexandria.

Cell lengths 9.541, 9.541, 9.541 Å; angles 27.79, 27.79, 27.79 degrees
Fractional positions:
Li: 0.099 0.099 0.099
Li: 0.901 0.901 0.901
Ca: 0.500 0.500 0.500
Sm: 0.373 0.373 0.373
Sm: 0.627 0.627 0.627
Ge: 0.242 0.242 0.242
Ge: 0.758 0.758 0.758

The total moment comes out at 0.0 μB per formula unit. Its formation energy is -478 meV per atom. The space group is R-3m (166).

Entry 8:
The following is a PBE calculation of a relaxed structure of AgSbW2, from Alexandria.

Cell lengths 3.095, 4.169, 5.589 Å; angles 90.00, 90.00, 90.00 degrees
Fractional positions:
Ag: 0.000 0.000 0.000
Sb: 0.000 0.000 0.500
W: 0.500 0.500 0.271
W: 0.500 0.500 0.729

The total moment comes out at 0.0 μB per formula unit. The value obtained for the uncorrected formation energy is 3.65 eV per formula unit. The space group is Pmmm (47).

Entry 9:
The following is a PBE calculation of a relaxed structure of CeHo2S5, from Alexandria.

Cell lengths 7.103, 7.103, 13.211 Å; angles 90.00, 90.00, 136.24 degrees
Fractional positions:
Ce: 0.199 0.801 0.750
Ce: 0.801 0.199 0.250
Ho: 0.144 0.856 0.056
Ho: 0.144 0.856 0.444
Ho: 0.856 0.144 0.556
Ho: 0.856 0.144 0.944
S: 0.047 0.953 0.621
S: 0.047 0.953 0.879
S: 0.237 0.763 0.250
S: 0.313 0.687 0.571
S: 0.313 0.687 0.929
S: 0.687 0.313 0.071
S: 0.687 0.313 0.429
S: 0.763 0.237 0.750
S: 0.953 0.047 0.121
S: 0.953 0.047 0.379

The total moment comes out at 0.0 μB per formula unit. The value obtained for the uncorrected formation energy is -15.38 eV per formula unit. The space group is Cmcm (63).

Entry 10:
The following is a PBE calculation of a relaxed structure of Pm2Ga6Ag3, from Alexandria.

Cell lengths 7.642, 7.642, 4.032 Å; angles 90.00, 90.00, 99.51 degrees
Fractional positions:
Pm: 0.202 0.798 0.000
Pm: 0.798 0.202 0.000
Ga: 0.119 0.119 0.500
Ga: 0.147 0.460 0.500
Ga: 0.460 0.147 0.500
Ga: 0.540 0.853 0.500
Ga: 0.853 0.540 0.500
Ga: 0.881 0.881 0.500
Ag: 0.292 0.292 0.000
Ag: 0.500 0.500 0.500
Ag: 0.708 0.708 0.000

The total moment comes out at 0.0 μB per formula unit. Its formation energy is -261 meV per atom. The space group is Cmmm (65).

Entry 11:
The following is a PBE calculation of a relaxed structure of Ti3Tc, from Alexandria.

Cell lengths 5.384, 5.384, 5.384 Å; angles 140.09, 140.09, 57.71 degrees
Fractional positions:
Ti: 0.000 0.000 0.000
Ti: 0.250 0.750 0.500
Ti: 0.750 0.250 0.500
Tc: 0.500 0.500 0.000

The total moment comes out at 0.0 μB per formula unit. Its formation energy is -104 meV per atom. The space group is I4/mmm (139).

Entry 12:
The following is a PBE calculation of a relaxed structure of Er2Mg3Ni2, from Alexandria.

Cell lengths 5.426, 5.426, 7.472 Å; angles 96.66, 96.66, 41.39 degrees
Fractional positions:
Er: 0.124 0.124 0.368
Er: 0.876 0.876 0.632
Mg: 0.187 0.187 0.853
Mg: 0.500 0.500 0.000
Mg: 0.813 0.813 0.147
Ni: 0.417 0.417 0.364
Ni: 0.583 0.583 0.636

The total moment comes out at 0.0 μB per formula unit. Its formation energy is -280 meV per atom. The space group is C2/m (12).

Entry 13:
The following is a PBE calculation of a relaxed structure of SrNiPH, from Alexandria.

Cell lengths 3.977, 3.977, 8.275 Å; angles 90.00, 90.00, 90.00 degrees
Fractional positions:
Sr: 0.250 0.250 0.171
Sr: 0.750 0.750 0.829
Ni: 0.250 0.750 0.500
Ni: 0.750 0.250 0.500
P: 0.250 0.250 0.631
P: 0.750 0.750 0.369
H: 0.250 0.750 0.000
H: 0.750 0.250 0.000

The total moment comes out at 0.0 μB per formula unit. The calculation puts the total energy at -4.781 eV per atom. The space group is P4/nmm (129).

Entry 14:
The following is a PBE calculation of a relaxed structure of BaHgAs2, from Alexandria.

Cell lengths 4.537, 4.537, 7.073 Å; angles 90.00, 90.00, 90.00 degrees
Fractional positions:
Ba: 0.000 0.000 0.000
Hg: 0.000 0.000 0.500
As: 0.500 0.500 0.165
As: 0.500 0.500 0.835

The total moment comes out at 0.0 μB per formula unit. Its formation energy is -396 meV per atom. The space group is P4/mmm (123).

Entry 15:
The following is a PBE calculation of a relaxed structure of Pa2ZnGa4Cu3, from Alexandria.

Cell lengths 4.151, 4.151, 10.050 Å; angles 90.00, 90.00, 90.00 degrees
Fractional positions:
Pa: 0.000 0.500 0.249
Pa: 0.500 0.000 0.751
Zn: 0.000 0.000 0.500
Ga: 0.000 0.000 0.000
Ga: 0.000 0.500 0.637
Ga: 0.500 0.000 0.363
Ga: 0.500 0.500 0.000
Cu: 0.000 0.500 0.870
Cu: 0.500 0.000 0.130
Cu: 0.500 0.500 0.500

The total moment comes out at 0.0 μB per formula unit. Its formation energy is -272 meV per atom. The space group is P-4m2 (115).

Entry 16:
The following is a PBE calculation of a relaxed structure of Ga2Ge2Pb, from Alexandria.

Cell lengths 8.190, 8.190, 3.206 Å; angles 90.00, 90.00, 90.00 degrees
Fractional positions:
Ga: 0.136 0.364 0.000
Ga: 0.364 0.864 0.000
Ga: 0.636 0.136 0.000
Ga: 0.864 0.636 0.000
Ge: 0.156 0.656 0.500
Ge: 0.344 0.156 0.500
Ge: 0.656 0.844 0.500
Ge: 0.844 0.344 0.500
Pb: 0.000 0.000 0.000
Pb: 0.500 0.500 0.000

The total moment comes out at 0.0 μB per formula unit. Its formation energy is 141 meV per atom. The space group is P4/mbm (127). Its polymorph energy (0 for the lowest one) is 0.015 eV/atom.

Entry 17:
The following is a PBE calculation of a relaxed structure of ZnCo2Te, from Alexandria.

Cell lengths 3.286, 4.165, 4.139 Å; angles 90.00, 90.16, 90.00 degrees
Fractional positions:
Zn: 0.000 0.000 0.000
Co: 0.500 0.000 0.500
Co: 0.500 0.500 0.000
Te: 0.000 0.500 0.500

The total moment comes out at 1.3 μB per formula unit. The value obtained for the uncorrected formation energy is 0.85 eV per formula unit. The space group is P2/m (10). Its polymorph energy (0 for the lowest one) is 0.023 eV/atom.

Entry 18:
The following is a PBE calculation of a relaxed structure of ScZn2Os, from Alexandria.

Cell lengths 4.477, 4.477, 4.477 Å; angles 60.00, 60.00, 60.00 degrees
Fractional positions:
Sc: 0.000 0.000 0.000
Zn: 0.500 0.500 0.500
Zn: 0.750 0.750 0.750
Os: 0.250 0.250 0.250

The total moment comes out at 0.0 μB per formula unit. Its formation energy is -69 meV per atom. The space group is F-43m (216). Its polymorph energy (0 for the lowest one) is 0.201 eV/atom.

Entry 19:
The following is a PBE calculation of a relaxed structure of AlInBi, from Alexandria.

Cell lengths 3.312, 6.852, 7.483 Å; angles 96.13, 90.07, 103.49 degrees
Fractional positions:
Al: 0.000 0.000 0.000
Al: 0.342 0.679 0.043
In: 0.422 0.817 0.665
In: 0.787 0.569 0.346
Bi: 0.171 0.324 0.779
Bi: 0.552 0.101 0.338

The total moment comes out at 0.0 μB per formula unit. Its formation energy is 127 meV per atom. The space group is P1 (1). Its polymorph energy (0 for the lowest one) is 0.016 eV/atom.

Entry 20:
The following is a PBE calculation of a relaxed structure of Tc2PtRh6, from Alexandria.

Cell lengths 4.745, 4.745, 6.816 Å; angles 76.36, 83.37, 60.12 degrees
Fractional positions:
Tc: 0.164 0.389 0.342
Tc: 0.836 0.611 0.658
Pt: 0.500 0.500 0.000
Rh: 0.163 0.174 0.001
Rh: 0.168 0.945 0.662
Rh: 0.498 0.280 0.662
Rh: 0.502 0.720 0.338
Rh: 0.832 0.055 0.338
Rh: 0.837 0.826 0.999

The total moment comes out at 0.0 μB per formula unit. Its formation energy is -92 meV per atom. The space group is P-1 (2). Its polymorph energy (0 for the lowest one) is 0.000 eV/atom.